# PmPr3Sn2 | the Alexandria database | PBE | relaxed
# **ρ**: 6.3 Mg/m³
# **Volume**: 35.3 Å³/atom
# **Total magnetic moment**: 0.00 μB per atom
# **ΔE_f**: -268.7 meV/atom
data_PmPr3Sn2
_chemical_formula_sum 'Pm2 Pr6 Sn4'
_symmetry_space_group_name_H-M 'P 1'
_symmetry_Int_Tables_number 1
_symmetry_space_group_name_Hall 'P 1'
_cell_length_a 8.765
_cell_length_b 8.765
_cell_length_c 8.765
_cell_angle_alpha 55.26
_cell_angle_beta 55.26
_cell_angle_gamma 55.26
loop_
_atom_site_label
_atom_site_type_symbol
_atom_site_fract_x
_atom_site_fract_y
_atom_site_fract_z
Pm1 Pm 0.500 0.500 0.500
Pm2 Pm 0.000 0.000 0.000
Pr1 Pr 0.473 0.027 0.750
Pr2 Pr 0.027 0.750 0.473
Pr3 Pr 0.750 0.473 0.027
Pr4 Pr 0.527 0.973 0.250
Pr5 Pr 0.973 0.250 0.527
Pr6 Pr 0.250 0.527 0.973
Sn1 Sn 0.355 0.355 0.355
Sn2 Sn 0.145 0.145 0.145
Sn3 Sn 0.855 0.855 0.855
Sn4 Sn 0.645 0.645 0.645



# Pm2PrSn9 | the Alexandria database | PBE | relaxed
# **ρ**: 7.6 Mg/m³
# **Volume**: 27.2 Å³/atom
# **Total magnetic moment**: 0.00 μB per atom
# **ΔE_f**: -493.3 meV/atom
data_Pm2PrSn9
_chemical_formula_sum 'Pm2 Pr1 Sn9'
_symmetry_space_group_name_H-M 'P 1'
_symmetry_Int_Tables_number 1
_symmetry_space_group_name_Hall 'P 1'
_cell_length_a 4.762
_cell_length_b 4.762
_cell_length_c 14.382
_cell_angle_alpha 90.00
_cell_angle_beta 90.00
_cell_angle_gamma 90.00
loop_
_atom_site_label
_atom_site_type_symbol
_atom_site_fract_x
_atom_site_fract_y
_atom_site_fract_z
Pm1 Pm 0.000 0.000 0.334
Pm2 Pm 0.000 0.000 0.666
Pr1 Pr 0.000 0.000 0.000
Sn1 Sn 0.500 0.500 0.000
Sn2 Sn 0.500 0.500 0.334
Sn3 Sn 0.500 0.500 0.666
Sn4 Sn 0.500 0.000 0.169
Sn5 Sn 0.500 0.000 0.500
Sn6 Sn 0.500 0.000 0.831
Sn7 Sn 0.000 0.500 0.169
Sn8 Sn 0.000 0.500 0.500
Sn9 Sn 0.000 0.500 0.831



# PmPr5Sn6 | the Alexandria database | PBE | relaxed
# **ρ**: 7.4 Mg/m³
# **Volume**: 29.0 Å³/atom
# **Total magnetic moment**: 0.00 μB per atom
# **ΔE_f**: -675.4 meV/atom
data_PmPr5Sn6
_chemical_formula_sum 'Pm1 Pr5 Sn6'
_symmetry_space_group_name_H-M 'P 1'
_symmetry_Int_Tables_number 1
_symmetry_space_group_name_Hall 'P 1'
_cell_length_a 10.436
_cell_length_b 5.008
_cell_length_c 8.000
_cell_angle_alpha 71.76
_cell_angle_beta 81.37
_cell_angle_gamma 61.35
loop_
_atom_site_label
_atom_site_type_symbol
_atom_site_fract_x
_atom_site_fract_y
_atom_site_fract_z
Pm1 Pm 0.000 0.000 0.000
Pr1 Pr 0.500 0.167 0.667
Pr2 Pr 0.000 0.334 0.332
Pr3 Pr 0.500 0.500 0.000
Pr4 Pr 0.000 0.666 0.668
Pr5 Pr 0.500 0.833 0.333
Sn1 Sn 0.751 0.083 0.332
Sn2 Sn 0.249 0.585 0.332
Sn3 Sn 0.249 0.251 0.000
Sn4 Sn 0.751 0.749 0.000
Sn5 Sn 0.751 0.415 0.668
Sn6 Sn 0.249 0.917 0.668



# Pm4PrSn2 | the Alexandria database | PBE | relaxed
# **ρ**: 7.0 Mg/m³
# **Volume**: 32.5 Å³/atom
# **Total magnetic moment**: 0.00 μB per atom
# **ΔE_f**: -72.0 meV/atom
data_Pm4PrSn2
_chemical_formula_sum 'Pm4 Pr1 Sn2'
_symmetry_space_group_name_H-M 'P 1'
_symmetry_Int_Tables_number 1
_symmetry_space_group_name_Hall 'P 1'
_cell_length_a 5.972
_cell_length_b 5.972
_cell_length_c 7.655
_cell_angle_alpha 112.96
_cell_angle_beta 112.96
_cell_angle_gamma 90.00
loop_
_atom_site_label
_atom_site_type_symbol
_atom_site_fract_x
_atom_site_fract_y
_atom_site_fract_z
Pm1 Pm 0.750 0.250 0.500
Pm2 Pm 0.250 0.750 0.500
Pm3 Pm 0.500 0.000 0.000
Pm4 Pm 0.000 0.500 0.000
Pr1 Pr 0.000 0.000 0.000
Sn1 Sn 0.628 0.628 0.255
Sn2 Sn 0.372 0.372 0.745



# Pm2PrSn | the Alexandria database | PBE | relaxed
# **ρ**: 7.0 Mg/m³
# **Volume**: 32.8 Å³/atom
# **Total magnetic moment**: 0.00 μB per atom
# **ΔE_f**: -38.4 meV/atom
data_Pm2PrSn
_chemical_formula_sum 'Pm2 Pr1 Sn1'
_symmetry_space_group_name_H-M 'P 1'
_symmetry_Int_Tables_number 1
_symmetry_space_group_name_Hall 'P 1'
_cell_length_a 3.532
_cell_length_b 3.532
_cell_length_c 12.322
_cell_angle_alpha 81.76
_cell_angle_beta 81.76
_cell_angle_gamma 60.00
loop_
_atom_site_label
_atom_site_type_symbol
_atom_site_fract_x
_atom_site_fract_y
_atom_site_fract_z
Pr1 Pr 0.000 0.000 0.000
Sn1 Sn 0.500 0.500 0.500
Pm1 Pm 0.095 0.095 0.715
Pm2 Pm 0.905 0.905 0.285



# PmPr2Sn2 | the Alexandria database | PBE | relaxed
# **ρ**: 7.0 Mg/m³
# **Volume**: 31.6 Å³/atom
# **Total magnetic moment**: 0.00 μB per atom
# **ΔE_f**: -699.6 meV/atom
data_PmPr2Sn2
_chemical_formula_sum 'Pm2 Pr4 Sn4'
_symmetry_space_group_name_H-M 'P 1'
_symmetry_Int_Tables_number 1
_symmetry_space_group_name_Hall 'P 1'
_cell_length_a 4.541
_cell_length_b 8.342
_cell_length_c 8.342
_cell_angle_alpha 90.00
_cell_angle_beta 90.00
_cell_angle_gamma 90.00
loop_
_atom_site_label
_atom_site_type_symbol
_atom_site_fract_x
_atom_site_fract_y
_atom_site_fract_z
Pm1 Pm 0.000 0.000 0.000
Pm2 Pm 0.000 0.500 0.500
Pr1 Pr 0.500 0.171 0.671
Pr2 Pr 0.500 0.671 0.829
Pr3 Pr 0.500 0.829 0.329
Pr4 Pr 0.500 0.329 0.171
Sn1 Sn 0.000 0.371 0.871
Sn2 Sn 0.000 0.871 0.629
Sn3 Sn 0.000 0.629 0.129
Sn4 Sn 0.000 0.129 0.371



Here are the calculated Fermi-level density of states numbers, same order: 13.469, 8.797, 10.614, 5.910, 6.224, 11.733 (states/eV/cell).